Entry 1:
An optimized crystal structure of SnSeNF2, computed with GGA-PBEsol.

The structure in POSCAR format:
```
SnSeNF2
1.0
4.095 0.000 0.000
0.000 4.095 0.000
0.000 0.000 4.207
F Sn Se N
2 1 1 1
direct
0.000 0.500 0.000 F
0.500 0.000 0.000 F
0.000 0.000 0.000 Sn
0.500 0.500 0.500 Se
0.000 0.000 0.500 N
```

Properties
Distance to the lowest polymorph of the same formula ... 0.0000 eV/atom
E_form (uncorrected) ... -406 meV/atom
Space group ... P4/mmm (123)

Entry 2:
An optimized crystal structure of SnSeNF2, computed with GGA-PBEsol.

The structure in POSCAR format:
```
SnSeNF2
1.0
3.800 0.000 0.000
0.000 4.495 0.000
0.000 0.000 4.495
F Sn N Se
2 1 1 1
direct
0.000 0.000 0.500 F
0.000 0.500 0.000 F
0.500 0.500 0.500 Sn
0.500 0.000 0.000 N
0.000 0.000 0.000 Se
```

Properties
Distance to the lowest polymorph of the same formula ... 0.1498 eV/atom
E_form (uncorrected) ... -256 meV/atom
Space group ... P4/mmm (123)

Entry 3:
An optimized crystal structure of TaSeNF2, computed with GGA-PBEsol.

The structure in POSCAR format:
```
TaSeNF2
1.0
4.023 0.000 0.000
0.000 4.023 0.000
0.000 0.000 4.128
Se F Ta N
1 2 1 1
direct
0.500 0.500 0.500 Se
0.500 0.000 0.000 F
0.000 0.500 0.000 F
0.000 0.000 0.000 Ta
0.000 0.000 0.500 N
```

Properties
E_form (uncorrected) ... -1023 meV/atom
Space group ... P4/mmm (123)

Entry 4:
An optimized crystal structure of YSe2NF, computed with GGA-PBEsol.

The structure in POSCAR format:
```
YSe2NF
1.0
4.393 0.000 0.000
0.000 5.557 0.000
0.000 0.000 5.557
Se F Y N
2 1 1 1
direct
0.000 0.500 0.000 Se
0.000 0.000 0.500 Se
0.500 0.500 0.500 F
0.000 0.000 0.000 Y
0.500 0.000 0.000 N
```

Properties
E_form (uncorrected) ... 324 meV/atom
Space group ... P4/mmm (123)

- What is the E_form (uncorrected) in the fourth record?
  324 meV/atom

- Which formula does entry 1 have?
  SnSeNF2

- The lowest E_form (uncorrected) belongs to which entry?
  TaSeNF2

Copy entry 2 word for word.
An optimized crystal structure of SnSeNF2, computed with GGA-PBEsol.

The structure in POSCAR format:
```
SnSeNF2
1.0
3.800 0.000 0.000
0.000 4.495 0.000
0.000 0.000 4.495
F Sn N Se
2 1 1 1
direct
0.000 0.000 0.500 F
0.000 0.500 0.000 F
0.500 0.500 0.500 Sn
0.500 0.000 0.000 N
0.000 0.000 0.000 Se
```

Properties
Distance to the lowest polymorph of the same formula ... 0.1498 eV/atom
E_form (uncorrected) ... -256 meV/atom
Space group ... P4/mmm (123)